Record 1
DFT (PBE) results for a relaxed structure of Rb2FeBI6.

```
10
Lattice="0.000 5.607 5.607 5.607 0.000 5.607 5.607 5.607 0.000" Properties=species:S:1:pos:R:3 pbc="T T T"
Rb 2.804 2.804 2.804
Rb 8.411 8.411 8.411
Fe 0.000 0.000 0.000
B 5.607 5.607 5.607
I 5.607 5.607 2.817
I 5.607 2.817 5.607
I 8.398 5.607 5.607
I 2.817 5.607 5.607
I 5.607 8.398 5.607
I 5.607 5.607 8.398
```

Values from the calculation:
Theoretical density in g cm⁻³: 4.71
Energy relative to the elements, uncorrected in eV/atom: -0.29

---

Record 2
DFT (PBE) results for a relaxed structure of K2ScF.

```
4
Lattice="0.000 4.305 4.305 4.305 0.000 4.305 4.305 4.305 0.000" Properties=species:S:1:pos:R:3 pbc="T T T"
K 2.153 2.153 2.153
K 6.458 6.458 6.458
Sc 0.000 0.000 0.000
F 4.305 4.305 4.305
```

Values from the calculation:
Excess energy over the best structure of this formula in the dataset in eV/atom: 0.586
Theoretical density in g cm⁻³: 1.48
Energy relative to the elements, uncorrected in eV/atom: -0.06

---

Record 3
DFT (PBE) results for a relaxed structure of Mg5As4H22O26.

```
57
Lattice="6.711 0.000 0.000 0.767 7.796 0.000 1.611 1.505 10.394" Properties=species:S:1:pos:R:3 pbc="T T T"
Mg 0.000 0.000 0.000
Mg 2.132 5.798 5.872
Mg 4.025 7.779 4.229
Mg 5.065 1.522 6.165
Mg 6.957 3.503 4.522
As 1.650 1.282 6.898
As 3.585 3.444 3.835
As 5.505 5.857 6.559
As 7.440 8.019 3.495
H 1.239 3.839 1.416
H 2.183 3.798 7.908
H 2.797 7.241 8.912
H 3.351 6.601 10.272
H 1.976 1.905 3.103
H 3.360 4.876 7.974
H 2.029 1.705 0.639
H 2.805 3.874 1.290
H 2.530 0.238 1.056
H 3.913 2.235 8.388
H 4.064 5.967 2.335
H 5.026 3.334 8.059
H 5.176 7.066 2.006
H 6.560 9.063 9.338
H 6.284 5.427 9.104
H 7.060 7.596 9.755
H 5.730 4.425 2.420
H 7.114 7.396 7.290
H 5.739 2.700 0.122
H 6.293 2.060 1.482
H 6.907 5.503 2.486
H 7.850 5.462 8.978
O 1.918 7.452 7.261
O 2.027 2.134 8.346
O 2.029 7.232 4.304
O 2.383 4.770 7.750
O 3.163 7.462 9.802
O 2.228 4.090 4.641
O 1.975 3.650 0.778
O 1.906 0.737 0.476
O 3.053 1.218 5.919
O 3.018 1.869 3.197
O 4.163 6.139 5.542
O 4.239 6.962 2.321
O 4.043 4.320 2.443
O 5.047 4.981 7.951
O 4.851 2.339 8.073
O 4.926 3.162 4.852
O 6.071 7.432 7.197
O 6.037 8.083 4.474
O 7.183 8.564 9.918
O 7.115 5.651 9.616
O 6.861 5.211 5.752
O 5.927 1.838 0.591
O 6.706 4.531 2.644
O 7.061 2.069 6.090
O 7.062 7.167 2.048
O 7.171 1.849 3.133
```

Values from the calculation:
Theoretical density in g cm⁻³: 2.62

---

Record 4
DFT (PBE) results for a relaxed structure of MgIn2.

```
9
Lattice="8.118 0.000 0.000 -4.059 7.030 0.000 0.000 0.000 4.021" Properties=species:S:1:pos:R:3 pbc="T T T"
Mg -1.112 1.926 0.000
Mg 2.224 0.000 0.000
Mg 2.947 5.105 0.000
In 0.000 0.000 2.011
In -2.487 4.308 2.011
In 0.000 4.687 0.000
In 1.572 2.723 2.011
In 4.974 0.000 2.011
In 4.059 2.343 0.000
```

Values from the calculation:
Theoretical density in g cm⁻³: 5.51

---

Record 5
DFT (PBE) results for a relaxed structure of SrMnGe.

```
6
Lattice="4.036 0.000 0.000 0.000 4.036 0.000 0.000 0.000 9.135" Properties=species:S:1:pos:R:3 pbc="T T T"
Sr 1.009 1.009 1.718
Sr 3.027 3.027 7.417
Mn 1.009 3.027 4.568
Mn 3.027 1.009 4.568
Ge 1.009 1.009 5.975
Ge 3.027 3.027 3.161
```

Values from the calculation:
Theoretical density in g cm⁻³: 4.80

---

Record 6
DFT (PBE) results for a relaxed structure of La2Dy3Ho6Sc.

```
12
Lattice="3.067 -5.314 0.000 3.067 5.314 0.000 -2.043 0.000 11.577" Properties=species:S:1:pos:R:3 pbc="T T T"
La 3.067 3.548 0.000
La 3.067 -3.548 0.000
Dy -1.022 0.000 5.788
Dy 2.046 1.768 5.788
Dy 2.046 -1.768 5.788
Ho 0.015 1.752 8.656
Ho 1.041 0.000 2.926
Ho 0.015 -1.752 8.656
Ho 4.076 1.752 2.921
Ho 3.051 0.000 8.650
Ho 4.076 -1.752 2.921
Sc 3.067 0.000 0.000
```

Values from the calculation:
Theoretical density in g cm⁻³: 7.92

---

Record 7
DFT (PBE) results for a relaxed structure of GaSbPb2O6.

```
20
Lattice="5.724 0.000 0.000 0.000 5.684 0.000 -5.718 0.000 7.979" Properties=species:S:1:pos:R:3 pbc="T T T"
Ga 0.000 0.000 0.000
Ga -2.859 2.842 3.989
Sb 0.003 0.000 3.989
Sb 2.862 2.842 0.000
Pb -2.819 0.025 5.984
Pb 0.040 2.817 1.994
Pb -0.034 2.867 5.985
Pb 2.825 5.659 1.995
O -0.291 0.007 1.994
O -3.150 2.835 5.984
O 1.394 4.215 0.234
O -1.465 4.311 4.223
O 1.486 1.379 0.232
O -1.373 1.463 4.221
O 1.379 4.221 3.758
O -1.480 4.305 7.747
O 1.471 1.373 3.756
O -1.388 1.469 7.745
O 3.156 2.849 1.995
O 0.297 5.677 5.985
```

Values from the calculation:
Theoretical density in g cm⁻³: 8.98
Energy relative to the elements, uncorrected in eV/atom: -1.36

---

Record 8
DFT (PBE) results for a relaxed structure of TaTi2Tc6Mo2.

```
11
Lattice="2.558 1.477 9.137 -2.558 1.477 9.137 0.000 -2.954 9.137" Properties=species:S:1:pos:R:3 pbc="T T T"
Ta 0.000 0.000 0.000
Ti 0.000 0.000 4.612
Ti 0.000 0.000 22.801
Tc 0.000 -1.458 6.928
Tc -1.262 0.729 6.928
Tc -1.262 -0.729 20.484
Tc 1.262 0.729 6.928
Tc 1.262 -0.729 20.484
Tc 0.000 1.458 20.484
Mo 0.000 0.000 12.445
Mo 0.000 0.000 14.968
```

Values from the calculation:
Theoretical density in g cm⁻³: 8.47

---

Record 9
DFT (PBE) results for a relaxed structure of Ti4Ir2Rh.

```
7
Lattice="2.175 1.256 7.020 -2.175 1.256 7.020 0.000 -2.511 7.020" Properties=species:S:1:pos:R:3 pbc="T T T"
Ti 0.000 0.000 2.499
Ti 0.000 0.000 7.791
Ti 0.000 0.000 13.270
Ti 0.000 0.000 18.563
Ir 0.000 0.000 5.216
Ir 0.000 0.000 15.845
Rh 0.000 0.000 10.531
```

Values from the calculation:
Theoretical density in g cm⁻³: 9.80

---

Record 10
DFT (PBE) results for a relaxed structure of LaTiHg3.

```
5
Lattice="5.225 0.000 0.000 0.000 5.225 0.000 0.000 0.000 5.225" Properties=species:S:1:pos:R:3 pbc="T T T"
La 0.000 0.000 0.000
Ti 2.613 2.613 2.613
Hg 0.000 2.613 2.613
Hg 2.613 0.000 2.613
Hg 2.613 2.613 0.000
```

Values from the calculation:
Excess energy over the best structure of this formula in the dataset in eV/atom: 0.000
Theoretical density in g cm⁻³: 9.18

---

The evaluated total energy for the records listed, in turn: -2.93, -2.66, -5.46, -2.37, -5.45, -4.76, -5.79, -9.64, -8.81, -2.68 eV/atom.